VASP calculation (GGA-PBE) on Ho3TiPd12 after structural relaxation.

Unit cell a=4.0715 b=4.0715 c=16.2306 alpha=90.00 beta=90.00 gamma=90.00
Element x y z (fractional)
Pd: 0.5000 0.0000 0.3715
Pd: 0.0000 0.5000 0.3715
Pd: 0.5000 0.5000 0.7573
Pd: 0.0000 0.5000 0.1137
Pd: 0.5000 0.5000 0.2427
Pd: 0.5000 0.0000 0.6285
Pd: 0.5000 0.0000 0.8863
Pd: 0.0000 0.5000 0.6285
Pd: 0.5000 0.5000 0.0000
Pd: 0.5000 0.0000 0.1137
Pd: 0.0000 0.5000 0.8863
Pd: 0.5000 0.5000 0.5000
Ho: 0.0000 0.0000 0.7552
Ho: 0.0000 0.0000 0.2448
Ho: 0.0000 0.0000 0.5000
Ti: 0.0000 0.0000 0.0000

## Properties
Final energy, eV per atom: -6.0771
Calculated formation energy, kcal/mol of atoms: -19.2
Total moment, Bohr magnetons per cell: 0.0
DOS at the Fermi energy, states/eV/cell: 9.4

***

VASP calculation (GGA-PBE) on HoTiPd2 after structural relaxation.

Unit cell a=3.2378 b=3.2378 c=7.0641 alpha=90.00 beta=90.00 gamma=90.00
Element x y z (fractional)
Ti: 0.5000 0.5000 0.0000
Ho: 0.5000 0.5000 0.5000
Pd: 0.0000 0.0000 0.2077
Pd: 0.0000 0.0000 0.7923

## Properties
Final energy, eV per atom: -6.3653
Calculated formation energy, kcal/mol of atoms: -15.0
Distance to the lowest polymorph of the same formula, eV/atom: 0.0000
Total moment, Bohr magnetons per cell: 0.0
DOS at the Fermi energy, states/eV/cell: 3.7

***

VASP calculation (GGA-PBE) on HoTiPd2 after structural relaxation.

Unit cell a=3.2423 b=4.7868 c=4.7868 alpha=90.00 beta=90.00 gamma=90.00
Site moments in Bohr magnetons follow the coordinates.
Element x y z (fractional)
Pd: 0.0000 0.5000 0.0000  0.02
Pd: 0.0000 0.0000 0.5000  0.02
Ho: 0.5000 0.5000 0.5000  0.01
Ti: 0.5000 0.0000 0.0000  0.64

## Properties
Final energy, eV per atom: -6.3130
Calculated formation energy, kcal/mol of atoms: -13.8
Distance to the lowest polymorph of the same formula, eV/atom: 0.0523
Total moment, Bohr magnetons per cell: 0.8
DOS at the Fermi energy, states/eV/cell: 3.9

***

VASP calculation (GGA-PBE) on Ho2TiPd8 after structural relaxation.

Unit cell a=4.5159 b=6.0063 c=8.0663 alpha=110.81 beta=106.26 gamma=90.00
Element x y z (fractional)
Pd: 0.9981 0.2589 0.9963
Pd: 0.6327 0.8663 0.2654
Pd: 0.3726 0.6016 0.7452
Pd: 0.3673 0.1337 0.7346
Pd: 0.0019 0.7411 0.0037
Pd: 0.6274 0.3984 0.2548
Pd: 0.8311 0.8311 0.6622
Pd: 0.1689 0.1689 0.3378
Ho: 0.8007 0.3053 0.6014
Ho: 0.1993 0.6947 0.3986
Ti: 0.5000 0.0000 0.0000

## Properties
Final energy, eV per atom: -5.9782
Calculated formation energy, kcal/mol of atoms: -15.0
Total moment, Bohr magnetons per cell: 0.0
DOS at the Fermi energy, states/eV/cell: 3.7

***

VASP calculation (GGA-PBE) on Ho2TiZn2Pd5 after structural relaxation.

Unit cell a=3.7263 b=9.7203 c=9.7203 alpha=90.00 beta=90.00 gamma=90.00
Element x y z (fractional)
Pd: 0.5000 0.0000 0.5000
Pd: 0.5000 0.0633 0.7999
Pd: 0.5000 0.4367 0.2999
Pd: 0.5000 0.7999 0.9367
Pd: 0.5000 0.2001 0.0633
Pd: 0.5000 0.5633 0.7001
Pd: 0.5000 0.7001 0.4367
Pd: 0.5000 0.2999 0.5633
Pd: 0.5000 0.9367 0.2001
Pd: 0.5000 0.5000 0.0000
Ho: 0.0000 0.6747 0.1747
Ho: 0.0000 0.3253 0.8253
Ho: 0.0000 0.8253 0.6747
Ho: 0.0000 0.1747 0.3253
Zn: 0.0000 0.6235 0.8765
Zn: 0.0000 0.1235 0.6235
Zn: 0.0000 0.8765 0.3765
Zn: 0.0000 0.3765 0.1235
Ti: 0.0000 0.5000 0.5000
Ti: 0.0000 0.0000 0.0000

## Properties
Final energy, eV per atom: -5.2461
Calculated formation energy, kcal/mol of atoms: -15.9
Total moment, Bohr magnetons per cell: 0.0
DOS at the Fermi energy, states/eV/cell: 11.9

***

VASP calculation (GGA-PBE) on Ho4TlPd after structural relaxation.

Unit cell a=9.6996 b=9.6996 c=9.6996 alpha=60.00 beta=60.00 gamma=60.00
Element x y z (fractional)
Ho: 0.9376 0.5624 0.9376
Ho: 0.8094 0.3969 0.3969
Ho: 0.9376 0.9376 0.5624
Ho: 0.5624 0.5624 0.9376
Ho: 0.1870 0.8130 0.1870
Ho: 0.5624 0.9376 0.5624
Ho: 0.5624 0.9376 0.9376
Ho: 0.3969 0.3969 0.8094
Ho: 0.8130 0.1870 0.1870
Ho: 0.1870 0.8130 0.8130
Ho: 0.3969 0.8094 0.3969
Ho: 0.3969 0.3969 0.3969
Ho: 0.1870 0.1870 0.8130
Ho: 0.8130 0.8130 0.1870
Ho: 0.9376 0.5624 0.5624
Ho: 0.8130 0.1870 0.8130
Pd: 0.1839 0.6054 0.6054
Pd: 0.6054 0.1839 0.6054
Pd: 0.6054 0.6054 0.1839
Pd: 0.6054 0.6054 0.6054
Tl: 0.5093 0.1636 0.1636
Tl: 0.1636 0.1636 0.5093
Tl: 0.1636 0.1636 0.1636
Tl: 0.1636 0.5093 0.1636

## Properties
Final energy, eV per atom: -4.7840
Calculated formation energy, kcal/mol of atoms: -10.9
Total moment, Bohr magnetons per cell: 0.0
DOS at the Fermi energy, states/eV/cell: 19.9

***

VASP calculation (GGA-PBE) on Ho3Tl2Pd after structural relaxation.

Unit cell a=7.8015 b=6.7372 c=7.8868 alpha=84.14 beta=79.84 gamma=54.62
Element x y z (fractional)
Ho: 0.6761 0.0000 0.8256
Ho: 0.3239 0.0000 0.1744
Ho: 0.1019 0.3479 0.7662
Ho: 0.4498 0.6521 0.7662
Ho: 0.8981 0.6521 0.2338
Ho: 0.5502 0.3479 0.2338
Tl: 0.1395 0.7210 0.5000
Tl: 0.5000 0.0000 0.5000
Tl: 0.8605 0.2790 0.5000
Tl: 0.0000 0.0000 0.0000
Pd: 0.2859 0.4281 0.0000
Pd: 0.7141 0.5719 0.0000

## Properties
Final energy, eV per atom: -4.3344
Calculated formation energy, kcal/mol of atoms: -9.0
Distance to the lowest polymorph of the same formula, eV/atom: 0.1281
Total moment, Bohr magnetons per cell: 0.0
DOS at the Fermi energy, states/eV/cell: 8.7

***

VASP calculation (GGA-PBE) on HoTl6Pd12 after structural relaxation.

Unit cell a=7.3921 b=7.3921 c=7.3921 alpha=102.55 beta=102.55 gamma=102.55
Element x y z (fractional)
Pd: 0.4271 0.3883 0.8162
Pd: 0.7570 0.2574 0.9819
Pd: 0.2430 0.7426 0.0181
Pd: 0.7426 0.0181 0.2430
Pd: 0.9819 0.7570 0.2574
Pd: 0.6117 0.1838 0.5729
Pd: 0.5729 0.6117 0.1838
Pd: 0.3883 0.8162 0.4271
Pd: 0.8162 0.4271 0.3883
Pd: 0.0181 0.2430 0.7426
Pd: 0.1838 0.5729 0.6117
Pd: 0.2574 0.9819 0.7570
Tl: 0.7993 0.8487 0.5465
Tl: 0.2007 0.1513 0.4535
Tl: 0.1513 0.4535 0.2007
Tl: 0.8487 0.5465 0.7993
Tl: 0.4535 0.2007 0.1513
Tl: 0.5465 0.7993 0.8487
Ho: 0.0000 0.0000 0.0000

## Properties
Final energy, eV per atom: -4.4051
Calculated formation energy, kcal/mol of atoms: -3.2
Total moment, Bohr magnetons per cell: 0.0
DOS at the Fermi energy, states/eV/cell: 8.3

***

VASP calculation (GGA-PBE) on Ho5TlPd4 after structural relaxation.

Unit cell a=3.5506 b=3.5506 c=17.8292 alpha=90.00 beta=90.00 gamma=90.00
Element x y z (fractional)
Ho: 0.5000 0.5000 0.5000
Ho: 0.5000 0.5000 0.3081
Ho: 0.5000 0.5000 0.8820
Ho: 0.5000 0.5000 0.6919
Ho: 0.5000 0.5000 0.1180
Tl: 0.0000 0.0000 0.0000
Pd: 0.0000 0.0000 0.2107
Pd: 0.0000 0.0000 0.4045
Pd: 0.0000 0.0000 0.5955
Pd: 0.0000 0.0000 0.7893

## Properties
Final energy, eV per atom: -5.3900
Calculated formation energy, kcal/mol of atoms: -18.2
Total moment, Bohr magnetons per cell: 0.0
DOS at the Fermi energy, states/eV/cell: 6.4

***

VASP calculation (GGA-PBE) on Ho12Tl6Pd after structural relaxation.

Unit cell a=8.6825 b=8.6825 c=8.6825 alpha=99.52 beta=99.52 gamma=99.52
Element x y z (fractional)
Ho: 0.8142 0.5690 0.4332
Ho: 0.6855 0.9357 0.0346
Ho: 0.5668 0.1858 0.4310
Ho: 0.0346 0.6855 0.9357
Ho: 0.0643 0.9654 0.3145
Ho: 0.4332 0.8142 0.5690
Ho: 0.9357 0.0346 0.6855
Ho: 0.1858 0.4310 0.5668
Ho: 0.4310 0.5668 0.1858
Ho: 0.3145 0.0643 0.9654
Ho: 0.5690 0.4332 0.8142
Ho: 0.9654 0.3145 0.0643
Tl: 0.6268 0.3030 0.1316
Tl: 0.8684 0.3732 0.6970
Tl: 0.3030 0.1316 0.6268
Tl: 0.6970 0.8684 0.3732
Tl: 0.1316 0.6268 0.3030
Tl: 0.3732 0.6970 0.8684
Pd: 0.0000 0.0000 0.0000

## Properties
Final energy, eV per atom: -3.9795
Calculated formation energy, kcal/mol of atoms: -1.6
Total moment, Bohr magnetons per cell: 0.0
DOS at the Fermi energy, states/eV/cell: 19.7

***

VASP calculation (GGA-PBE) on Ho8Tl2Pd after structural relaxation.

Unit cell a=5.0549 b=6.7399 c=9.6227 alpha=99.52 beta=105.23 gamma=90.00
Element x y z (fractional)
Ho: 0.0159 0.7685 0.0318
Ho: 0.2064 0.3171 0.4129
Ho: 0.6474 0.9891 0.2947
Ho: 0.9841 0.2315 0.9682
Ho: 0.7936 0.6829 0.5871
Ho: 0.4097 0.5330 0.8194
Ho: 0.3526 0.0109 0.7053
Ho: 0.5903 0.4670 0.1806
Tl: 0.8119 0.2380 0.6238
Tl: 0.1881 0.7620 0.3762
Pd: 0.5000 0.0000 0.0000

## Properties
Final energy, eV per atom: -4.4910
Calculated formation energy, kcal/mol of atoms: -6.0
Total moment, Bohr magnetons per cell: 0.0
DOS at the Fermi energy, states/eV/cell: 10.2

***

VASP calculation (GGA-PBE) on Ho12TlPd6 after structural relaxation.

Unit cell a=8.5847 b=8.5847 c=8.5847 alpha=109.47 beta=109.47 gamma=109.47
Element x y z (fractional)
Pd: 0.5000 0.8629 0.3629
Pd: 0.8629 0.3629 0.5000
Pd: 0.6371 0.5000 0.1371
Pd: 0.5000 0.1371 0.6371
Pd: 0.1371 0.6371 0.5000
Pd: 0.3629 0.5000 0.8629
Ho: 0.1836 0.2965 0.4802
Ho: 0.7035 0.5198 0.8164
Ho: 0.2965 0.1129 0.8164
Ho: 0.5198 0.8164 0.7035
Ho: 0.2965 0.4802 0.1836
Ho: 0.7035 0.8871 0.1836
Ho: 0.8164 0.2965 0.1129
Ho: 0.8871 0.1836 0.7035
Ho: 0.1836 0.7035 0.8871
Ho: 0.4802 0.1836 0.2965
Ho: 0.1129 0.8164 0.2965
Ho: 0.8164 0.7035 0.5198
Tl: 0.0000 0.0000 0.0000

## Properties
Final energy, eV per atom: -5.2722
Calculated formation energy, kcal/mol of atoms: -14.2
Distance to the lowest polymorph of the same formula, eV/atom: 0.0000
Total moment, Bohr magnetons per cell: 0.0
DOS at the Fermi energy, states/eV/cell: 17.5

***

VASP calculation (GGA-PBE) on Ho5TlPd2 after structural relaxation.

Unit cell a=7.8448 b=7.8448 c=8.6909 alpha=116.83 beta=116.83 gamma=90.00
Element x y z (fractional)
Ho: 0.5171 0.7019 0.7190
Ho: 0.2981 0.7981 0.2810
Ho: 0.9829 0.4829 0.2810
Ho: 0.2019 0.0171 0.7190
Ho: 0.5000 0.5000 0.0000
Ho: 0.0171 0.5171 0.7190
Ho: 0.4829 0.2981 0.2810
Ho: 0.7019 0.2019 0.7190
Ho: 0.0000 0.0000 0.0000
Ho: 0.7981 0.9829 0.2810
Pd: 0.3654 0.8654 0.0000
Pd: 0.6346 0.1346 0.0000
Pd: 0.1346 0.3654 0.0000
Pd: 0.8654 0.6346 0.0000
Tl: 0.7500 0.7500 0.5000
Tl: 0.2500 0.2500 0.5000

## Properties
Final energy, eV per atom: -5.0276
Calculated formation energy, kcal/mol of atoms: -13.2
Total moment, Bohr magnetons per cell: 0.0
DOS at the Fermi energy, states/eV/cell: 19.5

***

VASP calculation (GGA-PBE) on HoTlPd6 after structural relaxation.

Unit cell a=4.0924 b=4.0924 c=8.2407 alpha=90.00 beta=90.00 gamma=90.00
Element x y z (fractional)
Pd: 0.0000 0.5000 0.2506
Pd: 0.5000 0.0000 0.2506
Pd: 0.5000 0.5000 0.0000
Pd: 0.0000 0.5000 0.7494
Pd: 0.5000 0.0000 0.7494
Pd: 0.5000 0.5000 0.5000
Ho: 0.0000 0.0000 0.0000
Tl: 0.0000 0.0000 0.5000

## Properties
Final energy, eV per atom: -5.3134
Calculated formation energy, kcal/mol of atoms: -12.7
Distance to the lowest polymorph of the same formula, eV/atom: 0.0000
Total moment, Bohr magnetons per cell: 0.0
DOS at the Fermi energy, states/eV/cell: 8.4

***

VASP calculation (GGA-PBE) on Ho12TlPd6 after structural relaxation.

Unit cell a=8.6555 b=8.6555 c=8.6555 alpha=108.75 beta=108.75 gamma=108.75
Element x y z (fractional)
Ho: 0.8522 0.6161 0.5539
Ho: 0.0334 0.8600 0.3260
Ho: 0.9666 0.1400 0.6740
Ho: 0.6740 0.9666 0.1400
Ho: 0.1400 0.6740 0.9666
Ho: 0.8600 0.3260 0.0334
Ho: 0.5539 0.8522 0.6161
Ho: 0.3839 0.4461 0.1478
Ho: 0.4461 0.1478 0.3839
Ho: 0.3260 0.0334 0.8600
Ho: 0.1478 0.3839 0.4461
Ho: 0.6161 0.5539 0.8522
Pd: 0.7091 0.7824 0.3531
Pd: 0.6469 0.2909 0.2176
Pd: 0.7824 0.3531 0.7091
Pd: 0.3531 0.7091 0.7824
Pd: 0.2176 0.6469 0.2909
Pd: 0.2909 0.2176 0.6469
Tl: 0.0000 0.0000 0.0000

## Properties
Final energy, eV per atom: -5.1570
Calculated formation energy, kcal/mol of atoms: -11.6
Distance to the lowest polymorph of the same formula, eV/atom: 0.1152
Total moment, Bohr magnetons per cell: 0.0
DOS at the Fermi energy, states/eV/cell: 16.2

***

VASP calculation (GGA-PBE) on Ho2TlPd after structural relaxation.

Unit cell a=3.8271 b=3.8271 c=8.7130 alpha=77.31 beta=77.31 gamma=60.00
Element x y z (fractional)
Ho: 0.7368 0.7368 0.7896
Ho: 0.2632 0.2632 0.2104
Pd: 0.0000 0.0000 0.0000
Tl: 0.5000 0.5000 0.5000

## Properties
Final energy, eV per atom: -4.6713
Calculated formation energy, kcal/mol of atoms: -11.4
Total moment, Bohr magnetons per cell: 0.0
DOS at the Fermi energy, states/eV/cell: 3.6

***

VASP calculation (GGA-PBE) on HoTl2Pd7 after structural relaxation.

Unit cell a=4.2228 b=8.1383 c=8.1383 alpha=125.97 beta=90.00 gamma=90.00
Element x y z (fractional)
Pd: 0.5000 0.0840 0.2823
Pd: 0.5000 0.2823 0.0840
Pd: 0.5000 0.9160 0.7177
Pd: 0.0000 0.1881 0.8119
Pd: 0.5000 0.5000 0.5000
Pd: 0.0000 0.8119 0.1881
Pd: 0.5000 0.7177 0.9160
Tl: 0.5000 0.6942 0.3058
Tl: 0.5000 0.3058 0.6942
Ho: 0.0000 0.0000 0.0000

## Properties
Final energy, eV per atom: -4.6305
Calculated formation energy, kcal/mol of atoms: -1.5
Total moment, Bohr magnetons per cell: 0.0
DOS at the Fermi energy, states/eV/cell: 6.0

***

VASP calculation (GGA-PBE) on HoTlPd4 after structural relaxation.

Unit cell a=5.4002 b=5.4002 c=5.4002 alpha=60.00 beta=60.00 gamma=60.00
Element x y z (fractional)
Pd: 0.1255 0.6248 0.6248
Pd: 0.6248 0.6248 0.6248
Pd: 0.6248 0.1255 0.6248
Pd: 0.6248 0.6248 0.1255
Ho: 0.0000 0.0000 0.0000
Tl: 0.2500 0.2500 0.2500

## Properties
Final energy, eV per atom: -5.1977
Calculated formation energy, kcal/mol of atoms: -13.3
Distance to the lowest polymorph of the same formula, eV/atom: 0.0000
Total moment, Bohr magnetons per cell: 0.0
DOS at the Fermi energy, states/eV/cell: 2.4

***

VASP calculation (GGA-PBE) on Ho2Tl2Pd5 after structural relaxation.

Unit cell a=5.4858 b=9.1860 c=8.9488 alpha=120.88 beta=107.85 gamma=90.00
Element x y z (fractional)
Pd: 0.7869 0.8540 0.0893
Pd: 0.2131 0.7647 0.9107
Pd: 0.3948 0.9712 0.3046
Pd: 0.1976 0.2647 0.9107
Pd: 0.5901 0.1666 0.6954
Pd: 0.4099 0.4712 0.3046
Pd: 0.8024 0.3540 0.0893
Pd: 0.0004 0.0715 0.5000
Pd: 0.6052 0.6666 0.6954
Pd: 0.9996 0.5715 0.5000
Ho: 0.1004 0.6906 0.2512
Ho: 0.6508 0.1906 0.2512
Ho: 0.3492 0.9394 0.7488
Ho: 0.8996 0.4394 0.7488
Tl: 0.7155 0.8228 0.5000
Tl: 0.2845 0.3228 0.5000
Tl: 0.5000 0.5553 0.0000
Tl: 0.0000 0.0553 0.0000

## Properties
Final energy, eV per atom: -4.8987
Calculated formation energy, kcal/mol of atoms: -10.9
Total moment, Bohr magnetons per cell: 0.0
DOS at the Fermi energy, states/eV/cell: 9.1

***

VASP calculation (GGA-PBE) on HoTl2Pd5 after structural relaxation.

Unit cell a=4.2931 b=4.2931 c=8.5675 alpha=104.51 beta=104.51 gamma=90.00
Element x y z (fractional)
Tl: 0.7427 0.7427 0.4854
Tl: 0.2573 0.2573 0.5146
Pd: 0.3769 0.8769 0.7538
Pd: 0.5000 0.5000 0.0000
Pd: 0.6231 0.1231 0.2462
Pd: 0.8769 0.3769 0.7538
Pd: 0.1231 0.6231 0.2462
Ho: 0.0000 0.0000 0.0000

## Properties
Final energy, eV per atom: -4.8673
Calculated formation energy, kcal/mol of atoms: -10.6
Total moment, Bohr magnetons per cell: 0.0
DOS at the Fermi energy, states/eV/cell: 3.8